Record 1
## MnSb2OsI (PBE-GGA)

Data for a relaxed MnSb2OsI crystal.

The formation energy (no corrections) comes out at 0.93 eV per atom. The value obtained for the energy above the lowest structure with this stoichiometry is 0.00 kJ per mole of atoms. Its magnetic moment is 4.72 μB per formula unit.

abc: 5.0656 5.0656 5.8232
angles: 90.00 90.00 90.00
Last column: magnetic moment on the atom in μB.
Element x y z (fractional)
1 I 0.0000 0.0000 0.5000  0.05
2 Mn 0.5000 0.5000 0.5000  4.46
3 Sb 0.5000 0.0000 0.0000  -0.05
4 Sb 0.0000 0.5000 0.0000  -0.05
5 Os 0.0000 0.0000 0.0000  -0.05

---

Record 2
## BaReSe2 (PBE-GGA)

Data for a relaxed BaReSe2 crystal.

The formation energy (no corrections) comes out at -0.33 eV per atom. The value obtained for the energy above the lowest structure with this stoichiometry is 16.43 kJ per mole of atoms. Its magnetic moment is 0.00 μB per formula unit.

abc: 6.2325 6.2325 7.8407
angles: 66.58 66.58 90.00
Element x y z (fractional)
1 Re 0.7500 0.2500 0.5000
2 Re 0.0000 0.0000 0.0000
3 Ba 0.2500 0.7500 0.5000
4 Ba 0.5000 0.5000 0.0000
5 Se 0.7342 0.1250 0.2500
6 Se 0.3750 0.2658 0.7500
7 Se 0.0158 0.6250 0.2500
8 Se 0.8750 0.9842 0.7500

---

Record 3
## CsKCd2Pt (PBE-GGA)

Data for a relaxed CsKCd2Pt crystal.

The value obtained for the energy above the lowest structure with this stoichiometry is 0.00 kJ per mole of atoms. Its magnetic moment is 0.00 μB per formula unit.

abc: 5.4573 5.4573 5.9952
angles: 90.00 90.00 90.00
Element x y z (fractional)
1 Cs 0.5000 0.5000 0.5000
2 K 0.0000 0.0000 0.5000
3 Cd 0.5000 0.0000 0.0000
4 Cd 0.0000 0.5000 0.0000
5 Pt 0.0000 0.0000 0.0000

---

Record 4
## CsGa2CuF8 (PBE-GGA)

Data for a relaxed CsGa2CuF8 crystal.

The formation energy (no corrections) comes out at -2.33 eV per atom. Its magnetic moment is 0.12 μB per formula unit.

abc: 5.5497 5.5497 8.6455
angles: 71.28 71.28 60.00
Last column: magnetic moment on the atom in μB.
Element x y z (fractional)
1 F 0.1877 0.1877 0.4369  0.00
2 F 0.2733 0.9722 0.1529  0.00
3 F 0.3985 0.7267 0.8471  0.00
4 F 0.8123 0.8123 0.5631  0.00
5 F 0.0278 0.3985 0.8471  0.00
6 F 0.9722 0.6015 0.1529  0.00
7 F 0.6015 0.2733 0.1529  0.00
8 F 0.7267 0.0278 0.8471  0.00
9 Cu 0.0000 0.0000 0.0000  0.12
10 Ga 0.2630 0.2630 0.2111  0.00
11 Ga 0.7370 0.7370 0.7889  0.00
12 Cs 0.5000 0.5000 0.5000  0.00

---

Question: What is the formula in the third record?
Answer: CsKCd2Pt